(1)
Below is a relaxed BiH crystal, with properties calculated at the GGA-PBE level.

Computed properties:
Volume   44.6 Å³/f.u.
DOS(E_F)   0.336 states/eV per atom
Spin magnetization   0.000 μB/atom

Lattice parameters (Å, degrees): 10.352 10.352 3.325 90.00 90.00 90.00
Element x y z (fractional)
Bi  0.784  0.500  0.000
Bi  0.216  0.500  0.000
Bi  0.500  0.216  0.000
Bi  0.500  0.784  0.000
Bi  0.284  0.000  0.500
Bi  0.716  0.000  0.500
Bi  0.000  0.716  0.500
Bi  0.000  0.284  0.500
H  0.362  0.362  0.000
H  0.362  0.638  0.000
H  0.638  0.362  0.000
H  0.638  0.638  0.000
H  0.862  0.862  0.500
H  0.862  0.138  0.500
H  0.138  0.862  0.500
H  0.138  0.138  0.500

=====

(2)
Below is a relaxed BiH crystal, with properties calculated at the GGA-PBE level.

Computed properties:
Volume   181.2 Å³/f.u.
Spin magnetization   2.000 μB/atom

Lattice parameters (Å, degrees): 6.572 6.553 9.009 90.00 110.91 90.00
Each line ends with the local moment (μB).
Element x y z (fractional)
H  0.933  0.250  0.863  0.38
H  0.067  0.750  0.137  0.38
Bi  0.640  0.250  0.288  1.74
Bi  0.360  0.750  0.712  1.74

=====

(3)
Below is a relaxed BiH crystal, with properties calculated at the GGA-PBE level.

Computed properties:
Volume   39.1 Å³/f.u.
DOS(E_F)   0.307 states/eV per atom
Spin magnetization   0.000 μB/atom

Lattice parameters (Å, degrees): 7.261 7.261 5.135 90.00 90.00 120.00
Element x y z (fractional)
Bi  0.076  0.338  0.250
Bi  0.738  0.076  0.750
Bi  0.662  0.738  0.250
Bi  0.924  0.662  0.750
Bi  0.262  0.924  0.250
Bi  0.338  0.262  0.750
H  0.567  0.089  0.250
H  0.478  0.567  0.750
H  0.911  0.478  0.250
H  0.433  0.911  0.750
H  0.522  0.433  0.250
H  0.089  0.522  0.750

=====

Which structure is most stable, and how do the rest compare? From most to least stable: (1), (3), (2).

=====

(1)
Below is a relaxed BiH crystal, with properties calculated at the GGA-PBE level.

Computed properties:
Volume   55.0 Å³/f.u.
Spin magnetization   0.000 μB/atom

Lattice parameters (Å, degrees): 9.143 5.591 6.453 90.00 90.00 90.00
Element x y z (fractional)
Bi  0.764  0.014  0.203
Bi  0.736  0.986  0.703
Bi  0.236  0.014  0.203
Bi  0.264  0.986  0.703
Bi  0.000  0.645  0.728
Bi  0.500  0.355  0.228
H  0.844  0.267  0.711
H  0.656  0.733  0.211
H  0.156  0.267  0.711
H  0.344  0.733  0.211
H  0.000  0.594  0.446
H  0.500  0.406  0.946

=====

(2)
Below is a relaxed BiH crystal, with properties calculated at the GGA-PBE level.

Computed properties:
Volume   42.1 Å³/f.u.
DOS(E_F)   0.323 states/eV per atom
Spin magnetization   0.000 μB/atom

Lattice parameters (Å, degrees): 6.956 6.956 6.956 90.00 90.00 90.00
Element x y z (fractional)
Bi  0.253  0.253  0.253
Bi  0.253  0.747  0.747
Bi  0.747  0.253  0.747
Bi  0.747  0.747  0.253
Bi  0.753  0.753  0.753
Bi  0.753  0.247  0.247
Bi  0.247  0.753  0.247
Bi  0.247  0.247  0.753
H  0.095  0.095  0.095
H  0.095  0.905  0.905
H  0.905  0.095  0.905
H  0.905  0.905  0.095
H  0.595  0.595  0.595
H  0.595  0.405  0.405
H  0.405  0.595  0.405
H  0.405  0.405  0.595

=====

(3)
Below is a relaxed BiH crystal, with properties calculated at the GGA-PBE level.

Computed properties:
Volume   61.4 Å³/f.u.
DOS(E_F)   0.001 states/eV per atom
Spin magnetization   0.000 μB/atom

Lattice parameters (Å, degrees): 4.325 4.326 7.970 90.26 105.36 119.98
Element x y z (fractional)
Bi  0.538  0.020  0.667
Bi  0.055  0.277  0.438
H  0.430  0.467  0.992
H  0.483  0.498  0.091

=====

(4)
Below is a relaxed BiH crystal, with properties calculated at the GGA-PBE level.

Computed properties:
Volume   43.9 Å³/f.u.
DOS(E_F)   0.102 states/eV per atom
Spin magnetization   0.000 μB/atom

Lattice parameters (Å, degrees): 3.341 5.645 5.438 58.91 89.68 90.00
Element x y z (fractional)
Bi  0.500  0.170  0.161
Bi  0.500  0.830  0.839
H  0.025  0.519  0.424
H  0.975  0.481  0.576

=====

Which structure is most stable, and how do the rest compare? From most to least stable: (3), (4), (1), (2).

=====

(1)
Below is a relaxed BiH crystal, with properties calculated at the GGA-PBE level.

Computed properties:
Volume   47.0 Å³/f.u.
DOS(E_F)   0.003 states/eV per atom
Spin magnetization   0.000 μB/atom

Lattice parameters (Å, degrees): 6.596 6.529 8.739 90.00 90.00 90.00
Element x y z (fractional)
Bi  0.785  0.975  0.098
Bi  0.285  0.525  0.902
Bi  0.215  0.475  0.402
Bi  0.715  0.025  0.598
Bi  0.164  0.986  0.894
Bi  0.664  0.514  0.106
Bi  0.836  0.486  0.606
Bi  0.336  0.014  0.394
H  0.310  0.033  0.072
H  0.810  0.467  0.928
H  0.690  0.533  0.428
H  0.190  0.967  0.572
H  0.442  0.555  0.727
H  0.942  0.945  0.273
H  0.558  0.055  0.773
H  0.058  0.445  0.227

=====

(2)
Below is a relaxed BiH crystal, with properties calculated at the GGA-PBE level.

Computed properties:
Volume   42.1 Å³/f.u.
DOS(E_F)   0.607 states/eV per atom
Spin magnetization   0.000 μB/atom

Lattice parameters (Å, degrees): 7.124 7.124 3.319 90.00 90.00 90.00
Element x y z (fractional)
Bi  0.327  0.327  0.000
Bi  0.827  0.173  0.500
Bi  0.173  0.827  0.500
Bi  0.673  0.673  0.000
H  0.383  0.617  0.000
H  0.883  0.883  0.500
H  0.117  0.117  0.500
H  0.617  0.383  0.000

=====

(3)
Below is a relaxed BiH crystal, with properties calculated at the GGA-PBE level.

Computed properties:
Volume   51.7 Å³/f.u.
Spin magnetization   0.000 μB/atom

Lattice parameters (Å, degrees): 5.167 5.221 4.743 65.63 64.36 70.82
Element x y z (fractional)
Bi  0.678  0.680  0.010
Bi  0.322  0.320  0.990
H  0.186  0.199  0.442
H  0.814  0.801  0.558

=====

(4)
Below is a relaxed BiH crystal, with properties calculated at the GGA-PBE level.

Computed properties:
Volume   44.3 Å³/f.u.
DOS(E_F)   0.391 states/eV per atom
Spin magnetization   0.000 μB/atom

Lattice parameters (Å, degrees): 3.443 3.443 8.625 90.00 90.00 120.00
Element x y z (fractional)
Bi  0.333  0.667  0.649
Bi  0.667  0.333  0.149
H  0.333  0.667  0.433
H  0.667  0.333  0.933

=====

Which structure is most stable, and how do the rest compare? From most to least stable: (3), (1), (4), (2).

=====

(1)
Below is a relaxed BiH crystal, with properties calculated at the GGA-PBE level.

Computed properties:
Volume   44.2 Å³/f.u.
DOS(E_F)   0.271 states/eV per atom
Spin magnetization   0.000 μB/atom

Lattice parameters (Å, degrees): 3.283 3.283 4.707 110.37 110.29 90.26
Element x y z (fractional)
Bi  0.265  0.003  0.925
H  0.039  0.775  0.473

=====

(2)
Below is a relaxed BiH crystal, with properties calculated at the GGA-PBE level.

Computed properties:
Volume   44.9 Å³/f.u.
DOS(E_F)   0.159 states/eV per atom
Spin magnetization   0.000 μB/atom

Lattice parameters (Å, degrees): 9.963 9.963 3.622 90.00 90.00 90.00
Element x y z (fractional)
Bi  0.749  0.410  0.500
Bi  0.251  0.590  0.500
Bi  0.590  0.749  0.500
Bi  0.410  0.251  0.500
Bi  0.934  0.647  0.000
Bi  0.066  0.353  0.000
Bi  0.353  0.934  0.000
Bi  0.647  0.066  0.000
H  0.799  0.715  0.500
H  0.201  0.285  0.500
H  0.285  0.799  0.500
H  0.715  0.201  0.500
H  0.830  0.334  0.000
H  0.170  0.666  0.000
H  0.666  0.830  0.000
H  0.334  0.170  0.000

=====

Which structure is most stable, and how do the rest compare? From most to least stable: (1), (2).